# 1
TiNbRu2 | meta-GGA SCAN | PBEsol geometry

D(E_F) (states/eV per cell): 11.44
Magnetization (Bohr magnetons per cell): 0.0
Energy (eV per atom): -30.2732

Cell lengths 6.196, 6.196, 6.196 Å; angles 90.00, 90.00, 90.00 degrees
Space group Fm-3m (No. 225)
Asymmetric unit:
Ti: 0.000 0.000 0.000 [4 per cell]
Nb: 0.000 0.000 0.500 [4 per cell]
Ru: 0.250 0.250 0.250 [8 per cell]

***

# 2
TmNbRu2 | meta-GGA SCAN | PBEsol geometry

D(E_F) (states/eV per cell): 2.21
Magnetization (Bohr magnetons per cell): 0.0
Energy (eV per atom): -39.1636

Cell lengths 6.423, 6.423, 6.423 Å; angles 90.00, 90.00, 90.00 degrees
Space group Fm-3m (No. 225)
Asymmetric unit:
Tm: 0.000 0.000 0.000 [4 per cell]
Nb: 0.000 0.000 0.500 [4 per cell]
Ru: 0.250 0.250 0.250 [8 per cell]

***

# 3
Nb2RuW | meta-GGA SCAN | PBEsol geometry

D(E_F) (states/eV per cell): 6.04
Magnetization (Bohr magnetons per cell): 0.0
Energy (eV per atom): -42.9040

Cell lengths 6.356, 6.356, 6.356 Å; angles 90.00, 90.00, 90.00 degrees
Space group Fm-3m (No. 225)
Asymmetric unit:
Nb: 0.250 0.250 0.250 [8 per cell]
Ru: 0.000 0.000 0.000 [4 per cell]
W: 0.000 0.000 0.500 [4 per cell]

***

Copy entry 1 word for word.
TiNbRu2 | meta-GGA SCAN | PBEsol geometry

D(E_F) (states/eV per cell): 11.44
Magnetization (Bohr magnetons per cell): 0.0
Energy (eV per atom): -30.2732

Cell lengths 6.196, 6.196, 6.196 Å; angles 90.00, 90.00, 90.00 degrees
Space group Fm-3m (No. 225)
Asymmetric unit:
Ti: 0.000 0.000 0.000 [4 per cell]
Nb: 0.000 0.000 0.500 [4 per cell]
Ru: 0.250 0.250 0.250 [8 per cell]

***

Look up the magnetization of the second one. 0.0 Bohr magnetons per cell